[1]
# Rb3Nd3MoS8 | Alexandria | GGA-PBE | optimized geometry
data_Rb3Nd3MoS8
_chemical_formula_sum 'Rb9 Nd9 Mo3 S24'
_cell_length_a 8.1289
_cell_length_b 8.1289
_cell_length_c 23.5668
_cell_angle_alpha 90.00
_cell_angle_beta 90.00
_cell_angle_gamma 120.00
_symmetry_space_group_name_H-M 'R -3 m'
_symmetry_Int_Tables_number 166
_symmetry_space_group_name_Hall '-R 3 2"'
loop_
_atom_site_label
_atom_site_type_symbol
_atom_site_fract_x
_atom_site_fract_y
_atom_site_fract_z
Rb1 Rb 0.0000 0.5000 0.0000
Nd1 Nd 0.0000 0.5000 0.5000
Mo1 Mo 0.0000 0.0000 0.5000
S1 S 0.0000 0.0000 0.2332
S2 S 0.0351 0.5175 0.2271
# Fermi-level density of states = 20.22 states/eV/cell
# Uncorrected energy = -5.556 eV per atom

***

[2]
# Nd2MoS5 | Alexandria | GGA-PBE | optimized geometry
data_Nd2MoS5
_chemical_formula_sum 'Nd4 Mo2 S10'
_cell_length_a 6.887
_cell_length_b 6.887
_cell_length_c 7.671
_cell_angle_alpha 90.00
_cell_angle_beta 90.00
_cell_angle_gamma 90.00
_symmetry_space_group_name_H-M 'I 4 m m'
_symmetry_Int_Tables_number 107
_symmetry_space_group_name_Hall 'I 4 -2'
loop_
_atom_site_label
_atom_site_type_symbol
_atom_site_fract_x
_atom_site_fract_y
_atom_site_fract_z
Nd1 Nd 0.000 0.500 0.000
Mo1 Mo 0.000 0.000 0.140
S1 S 0.000 0.000 0.868
S2 S 0.236 0.236 0.219
# Fermi-level density of states = 1.88 states/eV/cell
# Uncorrected energy = -6.355 eV per atom

***

[3]
# Nd3MoS6 | Alexandria | GGA-PBE | optimized geometry
data_Nd3MoS6
_chemical_formula_sum 'Nd12 Mo4 S24'
_cell_length_a 10.972
_cell_length_b 13.587
_cell_length_c 6.767
_cell_angle_alpha 90.00
_cell_angle_beta 90.00
_cell_angle_gamma 90.00
_symmetry_space_group_name_H-M 'C m c 21'
_symmetry_Int_Tables_number 36
_symmetry_space_group_name_Hall 'C 2c -2'
loop_
_atom_site_label
_atom_site_type_symbol
_atom_site_fract_x
_atom_site_fract_y
_atom_site_fract_z
Nd1 Nd 0.000 0.100 0.000
Nd2 Nd 0.183 0.401 0.919
Mo1 Mo 0.000 0.307 0.377
S1 S 0.000 0.280 0.721
S2 S 0.000 0.466 0.225
S3 S 0.162 0.026 0.709
S4 S 0.163 0.238 0.201
# Fermi-level density of states = 9.39 states/eV/cell
# Uncorrected energy = -6.505 eV per atom

***

[4]
# NdMoS2 | Alexandria | GGA-PBE | optimized geometry
data_NdMoS2
_chemical_formula_sum 'Nd3 Mo3 S6'
_cell_length_a 3.3086
_cell_length_b 3.3086
_cell_length_c 26.5811
_cell_angle_alpha 90.00
_cell_angle_beta 90.00
_cell_angle_gamma 120.00
_symmetry_space_group_name_H-M 'R -3 m'
_symmetry_Int_Tables_number 166
_symmetry_space_group_name_Hall '-R 3 2"'
loop_
_atom_site_label
_atom_site_type_symbol
_atom_site_fract_x
_atom_site_fract_y
_atom_site_fract_z
Nd1 Nd 0.0000 0.0000 0.0000
Mo1 Mo 0.0000 0.0000 0.5000
S1 S 0.0000 0.0000 0.1076
# Fermi-level density of states = 15.96 states/eV/cell
# Uncorrected energy = -6.456 eV per atom

***

Values for V, Å³ per atom, ordered as above
29.97; 22.74; 25.22; 21.00